Record 1
The following is a PBE calculation of a geometry-optimized CaZn8Ag4 structure, from the Alexandria database.

Summary:
Calculated formation energy (eV/atom): -0.084
Excess energy over the best structure of this formula in the dataset (eV per atom): 0.000
Final energy (eV for the cell shown): -24.70

a b c (Å): 5.683 6.966 6.966
angles (deg): 80.42 65.92 65.92
Element x y z (fractional)
Zn  0.500  0.786  0.214
Zn  0.643  0.357  0.357
Zn  0.000  0.357  0.643
Zn  0.000  0.643  0.357
Zn  0.286  0.214  0.214
Zn  0.500  0.214  0.786
Zn  0.714  0.786  0.786
Zn  0.357  0.643  0.643
Ag  0.000  0.500  0.000
Ag  0.500  0.000  0.500
Ag  0.500  0.500  0.000
Ag  0.000  0.000  0.500
Ca  0.000  0.000  0.000



Record 2
The following is a PBE calculation of a geometry-optimized Ca2Zn4Ag5 structure, from the Alexandria database.

Summary:
Calculated formation energy (eV/atom): -0.175
Excess energy over the best structure of this formula in the dataset (eV per atom): 0.000
Final energy (eV for the cell shown): -25.28

a b c (Å): 5.833 5.600 8.774
angles (deg): 80.03 70.58 58.61
Element x y z (fractional)
Ag  0.500  0.000  0.000
Ag  0.500  0.500  0.000
Ag  0.750  0.500  0.500
Ag  0.250  0.500  0.500
Ag  0.000  0.500  0.000
Zn  0.219  0.300  0.263
Zn  0.781  0.700  0.737
Zn  0.519  0.700  0.263
Zn  0.481  0.300  0.737
Ca  0.132  0.000  0.736
Ca  0.868  0.000  0.264



Record 3
The following is a PBE calculation of a geometry-optimized Ca8Zn2Ag structure, from the Alexandria database.

Summary:
Calculated formation energy (eV/atom): -0.098
Excess energy over the best structure of this formula in the dataset (eV per atom): 0.033
Final energy (eV for the cell shown): -22.49

a b c (Å): 6.250 8.262 8.262
angles (deg): 111.93 100.18 100.18
Element x y z (fractional)
Ca  0.983  0.781  0.220
Ca  0.580  0.078  0.337
Ca  0.380  0.667  0.928
Ca  0.177  0.368  0.368
Ca  0.580  0.337  0.078
Ca  0.801  0.639  0.639
Ca  0.983  0.220  0.781
Ca  0.380  0.928  0.667
Zn  0.492  0.319  0.693
Zn  0.492  0.693  0.319
Ag  0.153  0.003  0.003



Record 4
The following is a PBE calculation of a geometry-optimized Ca6ZnAg2 structure, from the Alexandria database.

Summary:
Calculated formation energy (eV/atom): -0.197
Final energy (eV for the cell shown): -20.76

a b c (Å): 5.287 7.097 8.382
angles (deg): 83.25 71.62 68.13
Element x y z (fractional)
Ca  0.303  0.227  0.167
Ca  0.637  0.226  0.500
Ca  0.970  0.227  0.833
Ca  0.030  0.773  0.167
Ca  0.363  0.774  0.500
Ca  0.697  0.773  0.833
Ag  0.334  0.500  0.831
Ag  0.666  0.500  0.169
Zn  0.000  0.500  0.500



Record 5
The following is a PBE calculation of a geometry-optimized CaZnAg structure, from the Alexandria database.

Summary:
Calculated formation energy (eV/atom): 0.160
Final energy (eV for the cell shown): -5.65

a b c (Å): 4.919 4.919 4.919
angles (deg): 60.00 60.00 60.00
Element x y z (fractional)
Zn  0.000  0.000  0.000
Ag  0.500  0.500  0.500
Ca  0.250  0.250  0.250



Record 6
The following is a PBE calculation of a geometry-optimized CaZn10Ag2 structure, from the Alexandria database.

Summary:
Calculated formation energy (eV/atom): -0.104
Final energy (eV for the cell shown): -21.80

a b c (Å): 5.484 6.862 6.952
angles (deg): 80.93 66.77 66.45
Element x y z (fractional)
Zn  0.281  0.213  0.225
Zn  0.355  0.648  0.641
Zn  0.000  0.000  0.500
Zn  0.996  0.648  0.359
Zn  0.506  0.213  0.775
Zn  0.645  0.352  0.359
Zn  0.494  0.787  0.225
Zn  0.004  0.352  0.641
Zn  0.500  0.000  0.500
Zn  0.719  0.787  0.775
Ag  0.500  0.500  0.000
Ag  0.000  0.500  0.000
Ca  0.000  0.000  0.000



Record 7
The following is a PBE calculation of a geometry-optimized CaZn2Ag3 structure, from the Alexandria database.

Summary:
Calculated formation energy (eV/atom): -0.172
Excess energy over the best structure of this formula in the dataset (eV per atom): 0.000
Final energy (eV for the cell shown): -28.27

a b c (Å): 4.558 4.558 13.194
angles (deg): 90.00 90.00 120.00
Element x y z (fractional)
Zn  0.333  0.667  0.591
Zn  0.667  0.333  0.409
Zn  0.667  0.333  0.091
Zn  0.333  0.667  0.909
Ag  0.333  0.667  0.120
Ag  0.000  0.000  0.500
Ag  0.667  0.333  0.880
Ag  0.333  0.667  0.380
Ag  0.000  0.000  0.000
Ag  0.667  0.333  0.620
Ca  0.000  0.000  0.250
Ca  0.000  0.000  0.750



Record 8
The following is a PBE calculation of a geometry-optimized CaZn10Ag structure, from the Alexandria database.

Summary:
Calculated formation energy (eV/atom): -0.065
Final energy (eV for the cell shown): -18.38

a b c (Å): 4.369 5.112 9.210
angles (deg): 90.00 90.00 90.00
Element x y z (fractional)
Zn  0.500  0.000  0.500
Zn  0.500  0.256  0.743
Zn  0.000  0.500  0.153
Zn  0.500  0.744  0.743
Zn  0.000  0.000  0.305
Zn  0.000  0.000  0.695
Zn  0.500  0.256  0.257
Zn  0.500  0.500  0.000
Zn  0.000  0.500  0.847
Zn  0.500  0.744  0.257
Ca  0.000  0.500  0.500
Ag  0.000  0.000  0.000



Record 9
The following is a PBE calculation of a geometry-optimized CaZnAg2 structure, from the Alexandria database.

Summary:
Calculated formation energy (eV/atom): -0.158
Final energy (eV for the cell shown): -9.61

a b c (Å): 3.443 3.444 6.947
angles (deg): 90.00 90.00 90.00
Element x y z (fractional)
Ca  0.500  0.500  0.250
Ag  0.000  0.000  0.544
Ag  0.000  0.000  0.956
Zn  0.500  0.500  0.750



Record 10
The following is a PBE calculation of a geometry-optimized CaZnAg structure, from the Alexandria database.

Summary:
Calculated formation energy (eV/atom): -0.283
Final energy (eV for the cell shown): -6.98

a b c (Å): 4.613 4.613 3.766
angles (deg): 90.00 90.00 120.00
Element x y z (fractional)
Ca  0.333  0.667  0.334
Ag  0.000  0.000  0.834
Zn  0.667  0.333  0.832



Record 11
The following is a PBE calculation of a geometry-optimized Ca3Zn4Ag7 structure, from the Alexandria database.

Summary:
Calculated formation energy (eV/atom): -0.230
Final energy (eV for the cell shown): -34.28

a b c (Å): 4.505 8.509 8.605
angles (deg): 67.78 74.83 74.65
Element x y z (fractional)
Ca  0.311  0.194  0.183
Ca  0.000  0.500  0.500
Ca  0.689  0.806  0.817
Zn  0.123  0.094  0.661
Zn  0.877  0.906  0.339
Zn  0.330  0.540  0.800
Zn  0.670  0.460  0.200
Ag  0.684  0.170  0.463
Ag  0.316  0.830  0.537
Ag  0.500  0.213  0.787
Ag  0.000  0.000  0.000
Ag  0.862  0.368  0.908
Ag  0.138  0.632  0.092
Ag  0.500  0.787  0.213



Record 12
The following is a PBE calculation of a geometry-optimized CaZn5Ag7 structure, from the Alexandria database.

Summary:
Calculated formation energy (eV/atom): -0.140
Final energy (eV for the cell shown): -30.14

a b c (Å): 5.279 7.113 7.113
angles (deg): 81.59 68.22 68.22
Element x y z (fractional)
Zn  0.723  0.777  0.777
Zn  0.503  0.500  0.996
Zn  0.001  0.500  0.996
Zn  0.503  0.996  0.500
Zn  0.001  0.996  0.500
Ag  0.999  0.653  0.348
Ag  0.647  0.353  0.353
Ag  0.504  0.204  0.789
Ag  0.504  0.789  0.204
Ag  0.278  0.222  0.222
Ag  0.342  0.658  0.658
Ag  0.999  0.348  0.653
Ca  0.996  0.004  0.004



Record 13
The following is a PBE calculation of a geometry-optimized CaZn2Ag structure, from the Alexandria database.

Summary:
Calculated formation energy (eV/atom): -0.137
Final energy (eV for the cell shown): -7.95

a b c (Å): 4.249 3.343 6.039
angles (deg): 73.70 90.00 90.00
Element x y z (fractional)
Zn  0.500  0.054  0.259
Zn  0.000  0.176  0.026
Ca  0.500  0.802  0.776
Ag  0.000  0.468  0.439



Record 14
The following is a PBE calculation of a geometry-optimized CaZnAg4 structure, from the Alexandria database.

Summary:
Calculated formation energy (eV/atom): 0.353
Excess energy over the best structure of this formula in the dataset (eV per atom): 0.490
Final energy (eV for the cell shown): -12.56

a b c (Å): 4.775 4.775 7.479
angles (deg): 90.00 90.00 90.00
Element x y z (fractional)
Ag  0.500  0.500  0.826
Ag  0.500  0.000  0.500
Ag  0.000  0.500  0.500
Ag  0.500  0.500  0.174
Ca  0.000  0.000  0.000
Zn  0.500  0.500  0.500



Record 15
The following is a PBE calculation of a geometry-optimized Ca2Zn6Ag3 structure, from the Alexandria database.

Summary:
Calculated formation energy (eV/atom): -0.098
Final energy (eV for the cell shown): -21.28

a b c (Å): 4.018 7.632 7.632
angles (deg): 97.17 90.00 90.00
Element x y z (fractional)
Zn  0.500  0.962  0.648
Zn  0.500  0.352  0.038
Zn  0.500  0.648  0.962
Zn  0.500  0.619  0.619
Zn  0.500  0.381  0.381
Zn  0.500  0.038  0.352
Ca  0.000  0.295  0.705
Ca  0.000  0.705  0.295
Ag  0.000  0.205  0.205
Ag  0.500  0.000  0.000
Ag  0.000  0.795  0.795



Record 16
The following is a PBE calculation of a geometry-optimized CaZn3Ag2 structure, from the Alexandria database.

Summary:
Calculated formation energy (eV/atom): -0.129
Final energy (eV for the cell shown): -24.60

a b c (Å): 4.239 8.357 8.012
angles (deg): 116.59 90.00 104.69
Element x y z (fractional)
Zn  0.593  0.185  0.668
Zn  0.965  0.931  0.617
Zn  0.305  0.611  0.523
Zn  0.695  0.389  0.477
Zn  0.035  0.069  0.383
Zn  0.407  0.815  0.332
Ag  0.201  0.403  0.705
Ag  0.474  0.948  0.815
Ag  0.526  0.052  0.185
Ag  0.799  0.597  0.295
Ca  0.859  0.718  0.945
Ca  0.141  0.282  0.055



Record 17
The following is a PBE calculation of a geometry-optimized Ca3ZnAg8 structure, from the Alexandria database.

Summary:
Calculated formation energy (eV/atom): -0.186
Final energy (eV for the cell shown): -32.32

a b c (Å): 5.698 5.698 9.814
angles (deg): 73.12 73.12 60.00
Element x y z (fractional)
Ag  0.437  0.437  0.185
Ag  0.688  0.688  0.935
Ag  0.439  0.939  0.682
Ag  0.437  0.940  0.185
Ag  0.939  0.439  0.682
Ag  0.189  0.189  0.433
Ag  0.939  0.939  0.682
Ag  0.940  0.437  0.185
Zn  0.866  0.866  0.403
Ca  0.988  0.988  0.035
Ca  0.378  0.378  0.867
Ca  0.508  0.508  0.476



Record 18
The following is a PBE calculation of a geometry-optimized Ca3Zn8Ag structure, from the Alexandria database.

Summary:
Calculated formation energy (eV/atom): -0.215
Final energy (eV for the cell shown): -21.63

a b c (Å): 5.411 5.411 9.554
angles (deg): 73.55 73.55 60.00
Element x y z (fractional)
Zn  0.939  0.439  0.683
Zn  0.686  0.686  0.942
Zn  0.939  0.939  0.683
Zn  0.439  0.939  0.683
Zn  0.436  0.436  0.190
Zn  0.436  0.937  0.190
Zn  0.937  0.436  0.190
Zn  0.189  0.189  0.434
Ca  0.504  0.504  0.488
Ca  0.994  0.994  0.019
Ca  0.377  0.377  0.870
Ag  0.875  0.875  0.375



Record 19
The following is a PBE calculation of a geometry-optimized Ca3Zn5Ag6 structure, from the Alexandria database.

Summary:
Calculated formation energy (eV/atom): -0.236
Final energy (eV for the cell shown): -65.58

a b c (Å): 4.541 9.250 13.588
angles (deg): 90.00 90.00 90.00
Element x y z (fractional)
Ag  0.500  0.029  0.364
Ag  0.500  0.401  0.822
Ag  0.000  0.053  0.500
Ag  0.000  0.599  0.322
Ag  0.000  0.971  0.136
Ag  0.500  0.566  0.000
Ag  0.500  0.029  0.636
Ag  0.000  0.434  0.500
Ag  0.500  0.401  0.178
Ag  0.500  0.947  0.000
Ag  0.000  0.971  0.864
Ag  0.000  0.599  0.678
Zn  0.000  0.886  0.332
Zn  0.000  0.542  0.123
Zn  0.000  0.759  0.000
Zn  0.500  0.458  0.377
Zn  0.000  0.542  0.877
Zn  0.500  0.458  0.623
Zn  0.500  0.114  0.168
Zn  0.500  0.114  0.832
Zn  0.500  0.241  0.500
Zn  0.000  0.886  0.668
Ca  0.500  0.749  0.500
Ca  0.500  0.754  0.800
Ca  0.000  0.246  0.700
Ca  0.000  0.251  0.000
Ca  0.500  0.754  0.200
Ca  0.000  0.246  0.300



Record 20
The following is a PBE calculation of a geometry-optimized CaZnAg structure, from the Alexandria database.

Summary:
Calculated formation energy (eV/atom): -0.213
Final energy (eV for the cell shown): -6.77

a b c (Å): 5.709 5.710 3.573
angles (deg): 71.76 71.77 36.47
Element x y z (fractional)
Ca  0.332  0.332  0.668
Zn  0.644  0.644  0.356
Ag  0.025  0.025  0.975



Record 21
The following is a PBE calculation of a geometry-optimized Ca2Zn3Ag17 structure, from the Alexandria database.

Summary:
Calculated formation energy (eV/atom): 0.070
Final energy (eV for the cell shown): -54.76

a b c (Å): 7.738 7.738 7.738
angles (deg): 83.76 83.76 83.76
Element x y z (fractional)
Zn  0.500  0.000  0.500
Zn  0.500  0.500  0.000
Zn  0.000  0.500  0.500
Ag  0.667  0.183  0.667
Ag  0.739  0.000  0.261
Ag  0.000  0.261  0.739
Ag  0.183  0.667  0.667
Ag  0.333  0.817  0.333
Ag  0.667  0.667  0.183
Ag  0.897  0.897  0.897
Ag  0.739  0.261  0.000
Ag  0.817  0.333  0.333
Ag  0.333  0.333  0.817
Ag  0.000  0.500  0.000
Ag  0.261  0.739  0.000
Ag  0.000  0.739  0.261
Ag  0.500  0.000  0.000
Ag  0.000  0.000  0.500
Ag  0.261  0.000  0.739
Ag  0.103  0.103  0.103
Ca  0.363  0.363  0.363
Ca  0.637  0.637  0.637